Entry from the Alexandria database: a relaxed structure of LaSn4Pt4 (GGA-PBE). Values from VASP.

```
&SYSTEM
  ibrav = 0, nat = 18, ntyp = 3
/
ATOMIC_SPECIES
La 138.91 La.upf
Sn 118.71 Sn.upf
Pt 195.08 Pt.upf
CELL_PARAMETERS angstrom
9.021 0.000 0.000
0.000 9.021 0.000
0.000 0.000 5.358
ATOMIC_POSITIONS crystal
La 0.250 0.250 0.250
La 0.750 0.750 0.750
Sn 0.098 0.636 0.160
Sn 0.136 0.902 0.660
Sn 0.364 0.598 0.660
Sn 0.402 0.864 0.160
Sn 0.598 0.136 0.840
Sn 0.636 0.402 0.340
Sn 0.864 0.098 0.340
Sn 0.902 0.364 0.840
Pt 0.047 0.614 0.663
Pt 0.114 0.953 0.163
Pt 0.386 0.547 0.163
Pt 0.453 0.886 0.663
Pt 0.547 0.114 0.337
Pt 0.614 0.453 0.837
Pt 0.886 0.047 0.837
Pt 0.953 0.386 0.337
```

Formation energy from the elements   -638 meV/atom
Electronic total energy   -5.65 eV/atom
Theoretical density   10.62 g cm⁻³
Space-group type   P4_2/n, No. 86